Entry 1:
NaCd3F7 after structural relaxation, computed with PBE-GGA.

Lattice parameters (Å, degrees): 7.4606 7.4606 7.6441 120.27 120.27 60.19
Last column: nearest neighbours and their distance in Å.
Sites, in units of the cell vectors:
Na  0.0000  0.0000  0.0000  8 F 2.42-2.46
Na  0.0000  0.0000  0.5000  8 F 2.42-2.46
Cd  0.0000  0.5000  0.0000  6 F 2.19-2.23
Cd  0.0000  0.5000  0.5000  4 F 2.13-2.38
Cd  0.5000  0.0000  0.0000  4 F 2.13-2.38
Cd  0.5000  0.0000  0.5000  6 F 2.19-2.23
Cd  0.5000  0.5000  0.0000  6 F 2.11-2.20
Cd  0.5000  0.5000  0.5000  6 F 2.11-2.20
F  0.1359  0.1508  0.3935  2 Cd 2.13-2.23
F  0.1402  0.5979  0.8834  3 Cd 2.19-2.39
F  0.1414  0.5972  0.3531  3 Cd 2.19-2.38
F  0.1508  0.1359  0.8935  2 Cd 2.13-2.23
F  0.3806  0.6194  0.7500  2 Cd 2.11
F  0.4021  0.8598  0.6166  3 Cd 2.19-2.39
F  0.4028  0.8586  0.1469  3 Cd 2.19-2.38
F  0.5972  0.1414  0.8531  3 Cd 2.19-2.38
F  0.5979  0.1402  0.3834  3 Cd 2.19-2.39
F  0.6194  0.3806  0.2500  2 Cd 2.11
F  0.8492  0.8641  0.1065  2 Cd 2.13-2.23
F  0.8586  0.4028  0.6469  3 Cd 2.19-2.38
F  0.8598  0.4021  0.1166  3 Cd 2.19-2.39
F  0.8641  0.8492  0.6065  2 Cd 2.13-2.23

- E_tot (Ry per atom) = -0.2746
- symmetry = No. 15


Entry 2:
Na2CdPO4F after structural relaxation, computed with PBE-GGA.

Lattice parameters (Å, degrees): 5.3229 6.8251 12.2291 90.00 90.00 90.00
Last column: nearest neighbours and their distance in Å.
Sites, in units of the cell vectors:
Na  0.2384  0.0067  0.1744  2 F 2.30-2.36, 4 O 2.32-2.40
Na  0.2384  0.4933  0.1744  2 F 2.30-2.36, 4 O 2.32-2.40
Na  0.2616  0.5067  0.6744  2 F 2.30-2.36, 4 O 2.32-2.40
Na  0.2616  0.9933  0.6744  2 F 2.30-2.36, 4 O 2.32-2.40
Na  0.7384  0.0067  0.3256  2 F 2.30-2.36, 4 O 2.32-2.40
Na  0.7384  0.4933  0.3256  2 F 2.30-2.36, 4 O 2.32-2.40
Na  0.7616  0.5067  0.8256  2 F 2.30-2.36, 4 O 2.32-2.40
Na  0.7616  0.9933  0.8256  2 F 2.30-2.36, 4 O 2.32-2.40
Cd  0.2296  0.7500  0.9099  4 O 2.24-2.29, 2 F 2.28-2.47
Cd  0.2704  0.2500  0.4099  4 O 2.24-2.29, 2 F 2.28-2.47
Cd  0.7296  0.7500  0.5901  4 O 2.24-2.29, 2 F 2.28-2.47
Cd  0.7704  0.2500  0.0901  4 O 2.24-2.29, 2 F 2.28-2.47
P  0.2124  0.7500  0.4220  4 O 1.54-1.57
P  0.2876  0.2500  0.9220  4 O 1.54-1.57
P  0.7124  0.7500  0.0780  4 O 1.54-1.57
P  0.7876  0.2500  0.5780  4 O 1.54-1.57
O  0.0823  0.2500  0.5733  1 P 1.57
O  0.1856  0.2500  0.0402  1 P 1.54
O  0.1964  0.0679  0.8575  1 P 1.55
O  0.1964  0.4321  0.8575  1 P 1.55
O  0.3036  0.5679  0.3575  1 P 1.55
O  0.3036  0.9321  0.3575  1 P 1.55
O  0.3144  0.7500  0.5402  1 P 1.54
O  0.4177  0.7500  0.0733  1 P 1.57
O  0.5823  0.2500  0.9267  1 P 1.57
O  0.6856  0.2500  0.4598  1 P 1.54
O  0.6964  0.0679  0.6425  1 P 1.55
O  0.6964  0.4321  0.6425  1 P 1.55
O  0.8036  0.5679  0.1425  1 P 1.55
O  0.8036  0.9321  0.1425  1 P 1.55
O  0.8144  0.7500  0.9598  1 P 1.54
O  0.9177  0.7500  0.4267  1 P 1.57
F  0.0020  0.2500  0.2651  2 Cd 2.28-2.47, 4 Na 2.30-2.36
F  0.4980  0.7500  0.7651  2 Cd 2.28-2.47, 4 Na 2.30-2.36
F  0.5020  0.2500  0.2349  2 Cd 2.28-2.47, 4 Na 2.30-2.36
F  0.9980  0.7500  0.7349  2 Cd 2.28-2.47, 4 Na 2.30-2.36

- E_tot (Ry per atom) = -0.4088
- symmetry = No. 62


Entry 3:
NbCdO3F after structural relaxation, computed with PBE-GGA.

Lattice parameters (Å, degrees): 3.7552 6.6159 7.0841 66.76 89.31 89.10
Last column: nearest neighbours and their distance in Å.
Sites, in units of the cell vectors:
Nb  0.2490  0.3250  0.2120  4 O 1.78-1.99
Nb  0.7510  0.6750  0.7880  4 O 1.78-1.99
Cd  0.2536  0.1546  0.7872  2 O 2.12-2.21, 2 F 2.31-2.34
Cd  0.7464  0.8454  0.2128  2 O 2.12-2.21, 2 F 2.31-2.34
O  0.2453  0.1709  0.4830  1 Nb 1.78
O  0.2509  0.5803  0.8645  2 Nb 1.98-1.99
O  0.2521  0.0920  0.1176  1 Nb 1.91
O  0.7479  0.9080  0.8824  1 Nb 1.91
O  0.7491  0.4197  0.1355  2 Nb 1.98-1.99
O  0.7547  0.8291  0.5170  1 Nb 1.78
F  0.2463  0.6219  0.2717  1 Nb 2.17, 2 Cd 2.31-2.34
F  0.7537  0.3781  0.7283  1 Nb 2.17, 2 Cd 2.31-2.34

- magnetization (μB/f.u.) = 0.00
- E_tot (Ry per atom) = -0.5032
- symmetry = No. 2


Entry 4:
RbNbCdF7 after structural relaxation, computed with PBE-GGA.

Lattice parameters (Å, degrees): 6.3081 6.3081 8.3872 90.00 90.00 115.78
Last column: nearest neighbours and their distance in Å.
Sites, in units of the cell vectors:
Rb  0.0000  0.0000  0.0000  10 F 2.87-3.11
Rb  0.0000  0.0000  0.5000  10 F 2.87-3.11
Nb  0.3051  0.6949  0.7500  7 F 1.97-2.10
Nb  0.6949  0.3051  0.2500  7 F 1.97-2.10
Cd  0.3036  0.6964  0.2500  7 F 2.19-2.26
Cd  0.6964  0.3036  0.7500  7 F 2.19-2.26
F  0.0297  0.3213  0.2500  1 Nb 2.07, 1 Cd 2.24
F  0.0680  0.3369  0.7500  1 Nb 2.10, 1 Cd 2.26
F  0.2906  0.7094  0.5104  1 Nb 2.02, 1 Cd 2.19
F  0.2906  0.7094  0.9896  1 Nb 2.02, 1 Cd 2.19
F  0.3213  0.0297  0.7500  1 Nb 2.07, 1 Cd 2.24
F  0.3369  0.0680  0.2500  1 Nb 2.10, 1 Cd 2.26
F  0.4893  0.5107  0.7500  1 Nb 1.97
F  0.5107  0.4893  0.2500  1 Nb 1.97
F  0.6631  0.9320  0.7500  1 Nb 2.10, 1 Cd 2.26
F  0.6787  0.9703  0.2500  1 Nb 2.07, 1 Cd 2.24
F  0.7094  0.2906  0.0104  1 Nb 2.02, 1 Cd 2.19
F  0.7094  0.2906  0.4896  1 Nb 2.02, 1 Cd 2.19
F  0.9320  0.6631  0.2500  1 Nb 2.10, 1 Cd 2.26
F  0.9703  0.6787  0.7500  1 Nb 2.07, 1 Cd 2.24

- magnetization (μB/f.u.) = 1.00
- E_tot (Ry per atom) = -0.3826
- symmetry = No. 63


Entry 5:
Cd3O2F2 after structural relaxation, computed with PBE-GGA.

Lattice parameters (Å, degrees): 6.1130 6.1130 6.1130 109.47 109.47 109.47
Last column: nearest neighbours and their distance in Å.
Sites, in units of the cell vectors:
Cd  0.1107  0.7500  0.8607  2 O 2.25, 2 F 2.32
Cd  0.2500  0.6393  0.3893  2 O 2.25, 2 F 2.32
Cd  0.3893  0.2500  0.6393  2 O 2.25, 2 F 2.32
Cd  0.6393  0.3893  0.2500  2 O 2.25, 2 F 2.32
Cd  0.7500  0.8607  0.1107  2 O 2.25, 2 F 2.32
Cd  0.8607  0.1107  0.7500  2 O 2.25, 2 F 2.32
O  0.0000  0.8960  0.5000  3 Cd 2.25
O  0.5000  0.0000  0.8960  3 Cd 2.25
O  0.6040  0.6040  0.6040  3 Cd 2.25
O  0.8960  0.5000  0.0000  3 Cd 2.25
F  0.0000  0.3614  0.5000  3 Cd 2.32
F  0.1386  0.1386  0.1386  3 Cd 2.32
F  0.3614  0.5000  0.0000  3 Cd 2.32
F  0.5000  0.0000  0.3614  3 Cd 2.32

- E_tot (Ry per atom) = -0.2752
- symmetry = No. 199


Entry 6:
Cd2PO4F after structural relaxation, computed with PBE-GGA.

Lattice parameters (Å, degrees): 7.6642 7.6642 10.4564 117.91 117.91 51.70
Last column: nearest neighbours and their distance in Å.
Sites, in units of the cell vectors:
Cd  0.1950  0.7116  0.5245  4 O 2.22-2.32, 2 F 2.27-2.43
Cd  0.2368  0.4448  0.1561  4 O 2.22-2.30, 2 F 2.28-2.41
Cd  0.2884  0.8050  0.9755  4 O 2.22-2.32, 2 F 2.27-2.43
Cd  0.4448  0.2368  0.6561  4 O 2.22-2.30, 2 F 2.28-2.41
Cd  0.5552  0.7632  0.3439  4 O 2.22-2.30, 2 F 2.28-2.41
Cd  0.7116  0.1950  0.0245  4 O 2.22-2.32, 2 F 2.27-2.43
Cd  0.7632  0.5552  0.8439  4 O 2.22-2.30, 2 F 2.28-2.41
Cd  0.8050  0.2884  0.4755  4 O 2.22-2.32, 2 F 2.27-2.43
P  0.0925  0.2592  0.3074  4 O 1.54-1.55
P  0.2592  0.0925  0.8074  4 O 1.54-1.55
P  0.7408  0.9075  0.1926  4 O 1.54-1.55
P  0.9075  0.7408  0.6926  4 O 1.54-1.55
O  0.0730  0.1105  0.1442  1 P 1.54
O  0.1056  0.2610  0.9189  1 P 1.55
O  0.1105  0.0730  0.6442  1 P 1.54
O  0.1478  0.5956  0.6623  1 P 1.55
O  0.1711  0.4161  0.3289  1 P 1.54
O  0.2610  0.1056  0.4189  1 P 1.55
O  0.4044  0.8522  0.8377  1 P 1.55
O  0.4161  0.1711  0.8289  1 P 1.54
O  0.5839  0.8289  0.1711  1 P 1.54
O  0.5956  0.1478  0.1623  1 P 1.55
O  0.7390  0.8944  0.5811  1 P 1.55
O  0.8289  0.5839  0.6711  1 P 1.54
O  0.8522  0.4044  0.3377  1 P 1.55
O  0.8895  0.9270  0.3558  1 P 1.54
O  0.8944  0.7390  0.0811  1 P 1.55
O  0.9270  0.8895  0.8558  1 P 1.54
F  0.3949  0.5716  0.1063  4 Cd 2.27-2.43
F  0.4284  0.6051  0.3937  4 Cd 2.27-2.43
F  0.5716  0.3949  0.6063  4 Cd 2.27-2.43
F  0.6051  0.4284  0.8937  4 Cd 2.27-2.43

- relative energy among the computed polymorphs (meV/atom) = 10
- symmetry = No. 15


Entry 7:
Cd2PO4F after structural relaxation, computed with PBE-GGA.

Lattice parameters (Å, degrees): 7.7041 7.7041 10.5359 117.62 117.62 51.54
Last column: nearest neighbours and their distance in Å.
Sites, in units of the cell vectors:
Cd  0.1888  0.7097  0.5165  4 O 2.22-2.33, 2 F 2.27-2.45
Cd  0.2406  0.4415  0.1532  4 O 2.22-2.31, 2 F 2.29-2.43
Cd  0.2903  0.8112  0.9835  4 O 2.22-2.33, 2 F 2.27-2.45
Cd  0.4415  0.2406  0.6532  4 O 2.22-2.31, 2 F 2.29-2.43
Cd  0.5585  0.7594  0.3468  4 O 2.22-2.31, 2 F 2.29-2.43
Cd  0.7097  0.1888  0.0165  4 O 2.22-2.33, 2 F 2.27-2.45
Cd  0.7594  0.5585  0.8468  4 O 2.22-2.31, 2 F 2.29-2.43
Cd  0.8112  0.2903  0.4835  4 O 2.22-2.33, 2 F 2.27-2.45
P  0.0881  0.2634  0.3056  4 O 1.54-1.55
P  0.2634  0.0881  0.8056  4 O 1.54-1.55
P  0.7366  0.9119  0.1944  4 O 1.54-1.55
P  0.9119  0.7366  0.6944  4 O 1.54-1.55
O  0.0617  0.1178  0.1439  1 P 1.55
O  0.1083  0.2686  0.9144  1 P 1.55
O  0.1178  0.0617  0.6439  1 P 1.55
O  0.1439  0.5954  0.6546  1 P 1.55
O  0.1527  0.4265  0.3200  1 P 1.54
O  0.2686  0.1083  0.4144  1 P 1.55
O  0.4046  0.8561  0.8454  1 P 1.55
O  0.4265  0.1527  0.8200  1 P 1.54
O  0.5735  0.8473  0.1800  1 P 1.54
O  0.5954  0.1439  0.1546  1 P 1.55
O  0.7314  0.8917  0.5856  1 P 1.55
O  0.8473  0.5735  0.6800  1 P 1.54
O  0.8561  0.4046  0.3454  1 P 1.55
O  0.8822  0.9383  0.3561  1 P 1.55
O  0.8917  0.7314  0.0856  1 P 1.55
O  0.9383  0.8822  0.8561  1 P 1.55
F  0.4012  0.5697  0.1081  4 Cd 2.27-2.45
F  0.4303  0.5988  0.3919  4 Cd 2.27-2.45
F  0.5697  0.4012  0.6081  4 Cd 2.27-2.45
F  0.5988  0.4303  0.8919  4 Cd 2.27-2.45

- relative energy among the computed polymorphs (meV/atom) = 0
- symmetry = No. 15


Entry 8:
CdPb2O2F2 after structural relaxation, computed with PBE-GGA.

Lattice parameters (Å, degrees): 6.0873 6.0873 6.7042 119.37 119.37 35.40
Last column: nearest neighbours and their distance in Å.
Sites, in units of the cell vectors:
Cd  0.0000  0.0000  0.0000  2 O 2.12
Pb  0.1882  0.1882  0.6707  3 O 2.31-2.38, 1 F 2.52
Pb  0.8118  0.8118  0.3293  3 O 2.31-2.38, 1 F 2.52
O  0.1884  0.1884  0.3152  1 Cd 2.12, 2 Pb 2.31
O  0.8116  0.8116  0.6848  1 Cd 2.12, 2 Pb 2.31
F  0.3910  0.3910  0.0773  2 Cd 2.44, 1 Pb 2.52
F  0.6090  0.6090  0.9227  2 Cd 2.44, 1 Pb 2.52

- E_tot (Ry per atom) = -0.3494
- symmetry = No. 12